This record from Alexandria describes crystalline Pm12MgTl3 at its relaxed geometry. The functional is PBE.

abc: 4.9719 4.9719 19.8798
angles: 90.00 90.00 90.00
Fractional coordinates of all 16 atoms:
Pm  0.0000  0.0000  0.0000
Pm  0.0000  0.0000  0.2490
Pm  0.0000  0.0000  0.5000
Pm  0.0000  0.0000  0.7510
Pm  0.0000  0.5000  0.1257
Pm  0.0000  0.5000  0.3749
Pm  0.0000  0.5000  0.6251
Pm  0.0000  0.5000  0.8743
Pm  0.5000  0.0000  0.1257
Pm  0.5000  0.0000  0.3749
Pm  0.5000  0.0000  0.6251
Pm  0.5000  0.0000  0.8743
Mg  0.5000  0.5000  0.0000
Tl  0.5000  0.5000  0.2514
Tl  0.5000  0.5000  0.5000
Tl  0.5000  0.5000  0.7486

Results
For the formation energy, the calculation gives -0.1517 eV/atom. Its crystal system is tetragonal. The value obtained for the uncorrected energy is -4.2580 eV per atom. The value obtained for the total magnetic moment is 0.000 μB per atom.